Entry 1:
DFT (PBE-GGA) results for a relaxed LiErAg2 crystal.

Properties
ΔE to the lowest computed polymorph = 20 meV per atom
Energy relative to the elements = -0.9 eV per formula unit
Volume = 20.5 Å³ per atom
Crystal system = cubic
Space group = No. 225

```
LiErAg2
1.0
-2.130 2.305 3.733
-2.991 -2.436 2.983
1.380 -0.974 4.575
Li Ag Er
1 2 1
direct
0.500 0.500 0.500
0.250 0.250 0.250
0.750 0.750 0.750
0.000 0.000 0.000
```

Entry 2:
DFT (PBE-GGA) results for a relaxed Cs2K2Tl crystal.

Properties
ΔE to the lowest computed polymorph = 0 meV per atom
Energy relative to the elements = -0.1 eV per formula unit
Volume = 72.1 Å³ per atom
Crystal system = monoclinic
Space group = No. 12

```
Cs2K2Tl
1.0
9.954 0.209 -2.388
-3.562 7.505 -4.197
-0.177 0.444 9.296
Cs K Tl
4 4 2
direct
0.763 0.345 0.774
0.237 0.655 0.226
0.763 0.774 0.345
0.237 0.226 0.655
0.389 0.212 0.212
0.138 0.747 0.747
0.862 0.253 0.253
0.611 0.788 0.788
0.000 0.098 0.902
0.000 0.902 0.098
```

Entry 3:
DFT (PBE-GGA) results for a relaxed AlP2SCl crystal.

Properties
ΔE to the lowest computed polymorph = 229 meV per atom
Volume = 20.6 Å³ per atom
Crystal system = tetragonal
E_form (uncorrected) = 0.778 eV/atom
Space group = No. 123

```
AlP2SCl
1.0
4.593 0.000 0.000
0.000 4.593 0.000
0.000 0.000 4.876
P S Al Cl
2 1 1 1
direct
0.000 0.500 0.000
0.500 0.000 0.000
0.000 0.000 0.000
0.500 0.500 0.500
0.000 0.000 0.500
```

Question: Among the records above, which one has the lowest volume?
Answer: LiErAg2

Question: What is the ΔE to the lowest computed polymorph in the first record?
Answer: 20 meV per atom

Copy entry 2 word for word.
DFT (PBE-GGA) results for a relaxed Cs2K2Tl crystal.

Properties
ΔE to the lowest computed polymorph = 0 meV per atom
Energy relative to the elements = -0.1 eV per formula unit
Volume = 72.1 Å³ per atom
Crystal system = monoclinic
Space group = No. 12

```
Cs2K2Tl
1.0
9.954 0.209 -2.388
-3.562 7.505 -4.197
-0.177 0.444 9.296
Cs K Tl
4 4 2
direct
0.763 0.345 0.774
0.237 0.655 0.226
0.763 0.774 0.345
0.237 0.226 0.655
0.389 0.212 0.212
0.138 0.747 0.747
0.862 0.253 0.253
0.611 0.788 0.788
0.000 0.098 0.902
0.000 0.902 0.098
```